(1)
Nd2BIN2 | PBE | relaxed

It has space group R-3m (No. 166, hexagonal axes), with a = 4.0903 Å, b = 4.0903 Å, c = 26.2462 Å, α = 90.00°, β = 90.00° and γ = 120.00°. Symmetry generates all atoms from Nd at (0.0000, 0.0000, 0.2362), B at (0.0000, 0.0000, 0.5000), I at (0.0000, 0.0000, 0.0000) and N at (0.0000, 0.0000, 0.4464).

The calculation puts the total energy at -6.78 eV/atom.


(2)
Sm2BIN2 | PBE | relaxed

It has space group R-3m (No. 166, hexagonal axes), with a = 4.0180 Å, b = 4.0180 Å, c = 26.1361 Å, α = 90.00°, β = 90.00° and γ = 120.00°. Symmetry generates all atoms from Sm at (0.0000, 0.0000, 0.2360), B at (0.0000, 0.0000, 0.5000), I at (0.0000, 0.0000, 0.0000) and N at (0.0000, 0.0000, 0.4461).

The calculation puts the total energy at -6.78 eV/atom.


(3)
Nd4B2I5 | PBE | relaxed

It has space group C2/m (No. 12), with a = 21.0362 Å, b = 4.1194 Å, c = 8.8601 Å, α = 90.00°, β = 102.38° and γ = 90.00°. Symmetry generates all atoms from Nd at (0.0006, 0.0000, 0.1939), Nd at (0.1569, 0.5000, 0.0847), B at (0.0382, 0.5000, 0.0186), I at (0.0000, 0.5000, 0.5000), I at (0.1606, 0.0000, 0.3547) and I at (0.1669, 0.0000, 0.8165).

The calculation puts the total energy at -4.65 eV/atom.


(4)
Nd4BI5 | PBE | relaxed

It has space group C2/m (No. 12), with a = 19.4784 Å, b = 4.1938 Å, c = 8.9578 Å, α = 90.00°, β = 102.67° and γ = 90.00°. Symmetry generates all atoms from Nd at (0.0011, 0.0000, 0.2989), Nd at (0.1389, 0.5000, 0.5706), B at (0.0000, 0.5000, 0.5000), I at (0.0000, 0.5000, 0.0000), I at (0.1652, 0.0000, 0.8428) and I at (0.1717, 0.0000, 0.3233).

The calculation puts the total energy at -4.45 eV/atom.


(5)
Nd2Sm2B2I5 | PBE | relaxed

It has space group C2/m (No. 12), with a = 20.9017 Å, b = 4.1047 Å, c = 8.8357 Å, α = 90.00°, β = 102.11° and γ = 90.00°. Symmetry generates all atoms from Nd at (0.0006, 0.0000, 0.1939), Sm at (0.1561, 0.5000, 0.0830), B at (0.0384, 0.5000, 0.0184), I at (0.0000, 0.5000, 0.5000), I at (0.1621, 0.0000, 0.3503) and I at (0.1687, 0.0000, 0.8200).

The calculation puts the total energy at -4.64 eV/atom.


(6)
Nd2Sm2BI5 | PBE | relaxed

It has space group C2/m (No. 12), with a = 19.3528 Å, b = 4.1689 Å, c = 8.9553 Å, α = 90.00°, β = 102.59° and γ = 90.00°. Symmetry generates all atoms from Nd at (0.0013, 0.0000, 0.2992), Sm at (0.1377, 0.5000, 0.5699), B at (0.0000, 0.5000, 0.5000), I at (0.0000, 0.5000, 0.0000), I at (0.1664, 0.0000, 0.8381) and I at (0.1730, 0.0000, 0.3288).

The calculation puts the total energy at -4.44 eV/atom.